Entry 1:
VASP calculation (PBE) on crystalline SnMo2Br at its relaxed geometry.

Cell lengths 7.412, 7.412, 5.995 Å; angles 51.82, 51.82, 90.00 degrees
Last column: magnetic moment on the atom in μB.
Fractional coordinates of all 8 atoms:
Br (0.250, 0.750, 0.500)  0.00
Br (0.500, 0.500, 0.000)  0.00
Sn (0.750, 0.250, 0.500)  -0.01
Sn (0.000, 0.000, 0.000)  -0.02
Mo (0.187, 0.625, 0.250)  0.52
Mo (0.875, 0.813, 0.750)  0.52
Mo (0.563, 0.125, 0.250)  0.49
Mo (0.375, 0.437, 0.750)  0.49

SG = I-42d, No. 122

=====

Entry 2:
VASP calculation (PBE) on crystalline Sn2MoBr at its relaxed geometry.

Cell lengths 5.158, 5.158, 5.158 Å; angles 60.00, 60.00, 60.00 degrees
Last column: magnetic moment on the atom in μB.
Fractional coordinates of all 4 atoms:
Sn (0.750, 0.750, 0.750)  -0.01
Sn (0.250, 0.250, 0.250)  -0.01
Mo (0.500, 0.500, 0.500)  2.50
Br (0.000, 0.000, 0.000)  0.08

SG = Fm-3m, No. 225

=====

Entry 3:
VASP calculation (PBE) on crystalline Sn3MoBr at its relaxed geometry.

Cell lengths 5.281, 5.281, 5.281 Å; angles 90.00, 90.00, 90.00 degrees
Fractional coordinates of all 5 atoms:
Mo (0.000, 0.000, 0.000)
Sn (0.000, 0.500, 0.000)
Sn (0.000, 0.000, 0.500)
Sn (0.500, 0.000, 0.000)
Br (0.500, 0.500, 0.500)

SG = Pm-3m, No. 221

=====

Entry 4:
VASP calculation (PBE) on crystalline SnMo2Br at its relaxed geometry.

Cell lengths 4.663, 4.663, 4.663 Å; angles 60.00, 60.00, 60.00 degrees
Fractional coordinates of all 4 atoms:
Mo (0.250, 0.250, 0.250)
Mo (0.750, 0.750, 0.750)
Sn (0.500, 0.500, 0.500)
Br (0.000, 0.000, 0.000)

SG = Fm-3m, No. 225

=====

Entry 5:
VASP calculation (PBE) on crystalline Sn3MoBr at its relaxed geometry.

Cell lengths 5.486, 5.486, 5.486 Å; angles 90.00, 90.00, 90.00 degrees
Last column: magnetic moment on the atom in μB.
Fractional coordinates of all 5 atoms:
Sn (0.000, 0.000, 0.500)  0.04
Sn (0.000, 0.500, 0.000)  -0.04
Sn (0.500, 0.000, 0.000)  0.01
Br (0.000, 0.000, 0.000)  0.01
Mo (0.500, 0.500, 0.500)  3.62

SG = Pm-3m, No. 221

=====

Entry 6:
VASP calculation (PBE) on crystalline Sn2MoBr at its relaxed geometry.

Cell lengths 6.461, 6.461, 8.172 Å; angles 66.71, 66.71, 90.00 degrees
Last column: magnetic moment on the atom in μB.
Fractional coordinates of all 8 atoms:
Sn (0.375, 0.309, 0.750)  -0.01
Sn (0.059, 0.625, 0.250)  -0.02
Sn (0.875, 0.941, 0.750)  -0.03
Sn (0.691, 0.125, 0.250)  -0.02
Mo (0.000, 0.000, 0.000)  0.74
Mo (0.750, 0.250, 0.500)  0.74
Br (0.250, 0.750, 0.500)  0.01
Br (0.500, 0.500, 0.000)  0.01

SG = I-42d, No. 122

=====

no.,ΔE to the lowest computed polymorph (meV per atom),size of the total moment (μB per formula unit),E_form (uncorrected) (eV/f.u.)
1,336,1.1,4.6
2,39,3.1,3.1
3,0,0.0,0.2
4,0,0.0,3.3
5,1250,4.6,6.5
6,0,0.9,2.9